Crystalline Re2NiSb at its relaxed geometry. Source: the Alexandria database, functional GGA-PBE.

Computed properties:
N(E_F) in states/eV per cell: 5.2
Formation energy from raw total energies in meV per atom: 566

Unit cell a=9.776 b=9.776 c=9.776 alpha=157.42 beta=157.42 gamma=32.14
Atoms (fractional coordinates):
Re (0.068, 0.625, 0.943)
Re (0.375, 0.318, 0.443)
Re (0.682, 0.125, 0.057)
Re (0.875, 0.932, 0.557)
Ni (0.000, 0.000, 0.000)
Ni (0.750, 0.250, 0.500)
Sb (0.250, 0.750, 0.500)
Sb (0.500, 0.500, 0.000)



Crystalline Re3NiSb at its relaxed geometry. Source: the Alexandria database, functional GGA-PBE.

Computed properties:
N(E_F) in states/eV per cell: 7.6
Formation energy from raw total energies in meV per atom: 1710
E above lowest polymorph in meV/atom: 0.0

Unit cell a=4.501 b=4.501 c=4.501 alpha=90.00 beta=90.00 gamma=90.00
Atoms (fractional coordinates):
Re (0.000, 0.000, 0.500)
Re (0.000, 0.500, 0.000)
Re (0.500, 0.000, 0.000)
Ni (0.000, 0.000, 0.000)
Sb (0.500, 0.500, 0.500)



Crystalline ReNi2Sb at its relaxed geometry. Source: the Alexandria database, functional GGA-PBE.

Computed properties:
N(E_F) in states/eV per cell: 3.8
Formation energy from raw total energies in meV per atom: 283

Unit cell a=3.157 b=3.157 c=5.754 alpha=90.00 beta=90.00 gamma=90.00
Atoms (fractional coordinates):
Re (0.000, 0.000, 0.000)
Ni (0.000, 0.000, 0.553)
Ni (0.500, 0.500, 0.769)
Sb (0.500, 0.500, 0.304)



Crystalline ReNi2Sb at its relaxed geometry. Source: the Alexandria database, functional GGA-PBE.

Computed properties:
N(E_F) in states/eV per cell: 3.9
Formation energy from raw total energies in meV per atom: 290

Unit cell a=2.841 b=2.841 c=7.465 alpha=90.00 beta=90.00 gamma=90.00
Atoms (fractional coordinates):
Re (0.000, 0.000, 0.000)
Ni (0.500, 0.500, 0.223)
Ni (0.500, 0.500, 0.777)
Sb (0.000, 0.000, 0.500)



Crystalline ReNiSb2 at its relaxed geometry. Source: the Alexandria database, functional GGA-PBE.

Computed properties:
N(E_F) in states/eV per cell: 1.9
Formation energy from raw total energies in meV per atom: 371
E above lowest polymorph in meV/atom: 150.1

Unit cell a=3.333 b=3.333 c=6.325 alpha=90.00 beta=90.00 gamma=90.00
Atoms (fractional coordinates):
Re (0.000, 0.000, 0.000)
Ni (0.000, 0.000, 0.500)
Sb (0.500, 0.500, 0.254)
Sb (0.500, 0.500, 0.746)



Crystalline ReNiSb2 at its relaxed geometry. Source: the Alexandria database, functional GGA-PBE.

Computed properties:
N(E_F) in states/eV per cell: 3.5
Formation energy from raw total energies in meV per atom: 260
E above lowest polymorph in meV/atom: 39.7

Unit cell a=3.182 b=3.182 c=7.964 alpha=90.00 beta=90.00 gamma=90.00
Atoms (fractional coordinates):
Re (0.000, 0.000, 0.000)
Ni (0.500, 0.500, 0.817)
Sb (0.000, 0.000, 0.637)
Sb (0.500, 0.500, 0.211)



Crystalline ReNi2Sb at its relaxed geometry. Source: the Alexandria database, functional GGA-PBE.

Computed properties:
N(E_F) in states/eV per cell: 4.7
Formation energy from raw total energies in meV per atom: 386

Unit cell a=8.447 b=8.447 c=8.447 alpha=19.71 beta=19.71 gamma=19.71
Atoms (fractional coordinates):
Re (0.000, 0.000, 0.000)
Ni (0.252, 0.252, 0.252)
Ni (0.748, 0.748, 0.748)
Sb (0.500, 0.500, 0.500)



Crystalline ReNi2Sb at its relaxed geometry. Source: the Alexandria database, functional GGA-PBE.

Computed properties:
N(E_F) in states/eV per cell: 4.9
Formation energy from raw total energies in meV per atom: 295

Unit cell a=4.635 b=4.635 c=2.855 alpha=90.00 beta=90.00 gamma=109.38
Atoms (fractional coordinates):
Re (0.000, 0.000, 0.000)
Ni (0.000, 0.500, 0.500)
Ni (0.500, 0.000, 0.500)
Sb (0.500, 0.500, 0.000)



Crystalline ReNi2Sb at its relaxed geometry. Source: the Alexandria database, functional GGA-PBE.

Computed properties:
N(E_F) in states/eV per cell: 5.7
Formation energy from raw total energies in meV per atom: 517

Unit cell a=8.201 b=8.201 c=8.201 alpha=20.73 beta=20.73 gamma=20.73
Atoms (fractional coordinates):
Re (0.000, 0.000, 0.000)
Ni (0.489, 0.489, 0.489)
Ni (0.744, 0.744, 0.744)
Sb (0.237, 0.237, 0.237)



Crystalline ReNi2Sb at its relaxed geometry. Source: the Alexandria database, functional GGA-PBE.

Computed properties:
N(E_F) in states/eV per cell: 2.9
Formation energy from raw total energies in meV per atom: 348

Unit cell a=4.628 b=4.628 c=4.628 alpha=129.79 beta=129.79 gamma=73.74
Atoms (fractional coordinates):
Re (0.000, 0.000, 0.000)
Ni (0.250, 0.750, 0.500)
Ni (0.750, 0.250, 0.500)
Sb (0.500, 0.500, 0.000)



Crystalline Re4NiSb at its relaxed geometry. Source: the Alexandria database, functional GGA-PBE.

Computed properties:
N(E_F) in states/eV per cell: 7.5
Formation energy from raw total energies in meV per atom: 786

Unit cell a=5.225 b=5.225 c=5.225 alpha=60.00 beta=60.00 gamma=60.00
Atoms (fractional coordinates):
Re (0.377, 0.377, 0.377)
Re (0.377, 0.377, 0.870)
Re (0.377, 0.870, 0.377)
Re (0.870, 0.377, 0.377)
Ni (0.750, 0.750, 0.750)
Sb (0.000, 0.000, 0.000)



Crystalline Re2NiSb at its relaxed geometry. Source: the Alexandria database, functional GGA-PBE.

Computed properties:
N(E_F) in states/eV per cell: 3.7
Formation energy from raw total energies in meV per atom: 602

Unit cell a=4.711 b=4.711 c=3.013 alpha=90.00 beta=90.00 gamma=111.63
Atoms (fractional coordinates):
Re (0.000, 0.500, 0.000)
Re (0.500, 0.000, 0.000)
Ni (0.000, 0.000, 0.500)
Sb (0.500, 0.500, 0.500)



Which of these has the lowest formation energy from raw total energies?
number 6



Among the records above, which one has the lowest N(E_F)?
number 5